No. 1
Compound: Ho2ErTmTe5
Source: Alexandria via LeMat-Bulk
Functional: PBE
Structure: optimized geometry

The value obtained for the formation energy from raw total energies is -0.6297 eV/atom. The calculation puts the density of states at the Fermi level at 0.4337 states/eV per atom.

```
data_Ho2ErTmTe5
_chemical_formula_sum 'Ho2 Er1 Tm1 Te5'
_symmetry_space_group_name_H-M 'P 4/m m m'
_symmetry_Int_Tables_number 123
_symmetry_space_group_name_Hall '-P 4 2'
_cell_length_a 5.497
_cell_length_b 5.497
_cell_length_c 11.424
_cell_angle_alpha 90.00
_cell_angle_beta 90.00
_cell_angle_gamma 90.00
loop_
_atom_site_label
_atom_site_type_symbol
_atom_site_fract_x
_atom_site_fract_y
_atom_site_fract_z
Ho1 Ho 0.000 0.000 0.152
Er1 Er 0.500 0.500 0.500
Tm1 Tm 0.500 0.500 0.000
Te1 Te 0.000 0.000 0.500
Te2 Te 0.000 0.500 0.000
Te3 Te 0.500 0.500 0.254
```

=====

No. 2
Compound: Er2TmNi
Source: Alexandria via LeMat-Bulk
Functional: PBE
Structure: optimized geometry

The calculation puts the density of states at the Fermi level at 1.4155 states/eV per atom. The excess energy over the best structure of this formula in the dataset is 92 meV per atom. Its formation energy is -179 meV/atom.

```
data_Er2TmNi
_chemical_formula_sum 'Er2 Tm1 Ni1'
_symmetry_space_group_name_H-M 'P 4/m m m'
_symmetry_Int_Tables_number 123
_symmetry_space_group_name_Hall '-P 4 2'
_cell_length_a 3.409
_cell_length_b 3.409
_cell_length_c 8.503
_cell_angle_alpha 90.00
_cell_angle_beta 90.00
_cell_angle_gamma 90.00
loop_
_atom_site_label
_atom_site_type_symbol
_atom_site_fract_x
_atom_site_fract_y
_atom_site_fract_z
Er1 Er 0.000 0.000 0.189
Tm1 Tm 0.500 0.500 0.500
Ni1 Ni 0.500 0.500 0.000
```

=====

No. 3
Compound: TlCd2Br
Source: Alexandria via LeMat-Bulk
Functional: PBE
Structure: optimized geometry

The value obtained for the formation energy from raw total energies is -0.2122 eV/atom. The calculation puts the density of states at the Fermi level at 0.2289 states/eV per atom. The excess energy over the best structure of this formula in the dataset is 87 meV per atom.

```
data_TlCd2Br
_chemical_formula_sum 'Tl1 Cd2 Br1'
_symmetry_space_group_name_H-M 'P 4 m m'
_symmetry_Int_Tables_number 99
_cell_length_a 3.868
_cell_length_b 3.868
_cell_length_c 7.594
_cell_angle_alpha 90.00
_cell_angle_beta 90.00
_cell_angle_gamma 90.00
loop_
_symmetry_equiv_pos_as_xyz
'x,y,z'
'-y,x,z'
'-x,-y,z'
'y,-x,z'
'-x,y,z'
'y,x,z'
'x,-y,z'
'-y,-x,z'
loop_
_atom_site_label
_atom_site_type_symbol
_atom_site_fract_x
_atom_site_fract_y
_atom_site_fract_z
Tl1 Tl 0.000 0.000 0.000
Cd1 Cd 0.000 0.000 0.548
Cd2 Cd 0.500 0.500 0.751
Br1 Br 0.500 0.500 0.310
```

=====

No. 4
Compound: Cs4NpU3O12
Source: Alexandria via LeMat-Bulk
Functional: PBE
Structure: optimized geometry

The value obtained for the formation energy from raw total energies is -2.7389 eV/atom. The calculation puts the density of states at the Fermi level at 1.1330 states/eV per atom.

```
data_Cs4NpU3O12
_chemical_formula_sum 'Cs8 Np2 U6 O24'
_symmetry_space_group_name_H-M 'I m -3 m'
_symmetry_Int_Tables_number 229
_symmetry_space_group_name_Hall '-I 4 2 3'
_cell_length_a 8.822
_cell_length_b 8.822
_cell_length_c 8.822
_cell_angle_alpha 90.00
_cell_angle_beta 90.00
_cell_angle_gamma 90.00
loop_
_atom_site_label
_atom_site_type_symbol
_atom_site_fract_x
_atom_site_fract_y
_atom_site_fract_z
Cs1 Cs 0.250 0.250 0.250
Np1 Np 0.000 0.000 0.000
U1 U 0.000 0.000 0.500
O1 O 0.000 0.000 0.257
O2 O 0.000 0.250 0.500
```

=====

No. 5
Compound: Sr3LaPr2Se6
Source: Alexandria via LeMat-Bulk
Functional: PBE
Structure: optimized geometry

The value obtained for the formation energy from raw total energies is -1.9471 eV/atom. The calculation puts the density of states at the Fermi level at 0.4275 states/eV per atom.

```
data_Sr3LaPr2Se6
_chemical_formula_sum 'Sr6 La2 Pr4 Se12'
_symmetry_space_group_name_H-M 'C 1 2/m 1'
_symmetry_Int_Tables_number 12
_cell_length_a 7.486
_cell_length_b 12.954
_cell_length_c 7.636
_cell_angle_alpha 90.00
_cell_angle_beta 109.08
_cell_angle_gamma 90.00
loop_
_symmetry_equiv_pos_as_xyz
'x,y,z'
'-x,-y,-z'
'-x,y,-z'
'x,-y,z'
'x+1/2,y+1/2,z'
'-x+1/2,-y+1/2,-z'
'-x+1/2,y+1/2,-z'
'x+1/2,-y+1/2,z'
loop_
_atom_site_label
_atom_site_type_symbol
_atom_site_fract_x
_atom_site_fract_y
_atom_site_fract_z
Sr1 Sr 0.000 0.000 0.000
Sr2 Sr 0.000 0.333 0.000
La1 La 0.000 0.500 0.500
Pr1 Pr 0.000 0.166 0.500
Se1 Se 0.248 0.000 0.744
Se2 Se 0.248 0.333 0.744
```

=====

No. 6
Compound: AgAsCl2
Source: Alexandria via LeMat-Bulk
Functional: PBE
Structure: optimized geometry

The value obtained for the formation energy from raw total energies is 0.0858 eV/atom. The calculation puts the density of states at the Fermi level at 0.5428 states/eV per atom. The excess energy over the best structure of this formula in the dataset is 374 meV per atom.

```
data_AgAsCl2
_chemical_formula_sum 'Ag3 As3 Cl6'
_symmetry_space_group_name_H-M 'R -3 m'
_symmetry_Int_Tables_number 166
_symmetry_space_group_name_Hall '-R 3 2"'
_cell_length_a 3.3635
_cell_length_b 3.3635
_cell_length_c 25.4150
_cell_angle_alpha 90.00
_cell_angle_beta 90.00
_cell_angle_gamma 120.00
loop_
_atom_site_label
_atom_site_type_symbol
_atom_site_fract_x
_atom_site_fract_y
_atom_site_fract_z
Ag1 Ag 0.0000 0.0000 0.0000
As1 As 0.0000 0.0000 0.5000
Cl1 Cl 0.0000 0.0000 0.2573
```

=====

No. 7
Compound: KNa2Tl2Hg2
Source: Alexandria via LeMat-Bulk
Functional: PBE
Structure: optimized geometry

The calculation puts the density of states at the Fermi level at 0.2122 states/eV per atom. Its formation energy is -181 meV/atom.

```
data_KNa2Tl2Hg2
_chemical_formula_sum 'K3 Na6 Tl6 Hg6'
_symmetry_space_group_name_H-M 'R -3 m'
_symmetry_Int_Tables_number 166
_symmetry_space_group_name_Hall '-R 3 2"'
_cell_length_a 5.3305
_cell_length_b 5.3305
_cell_length_c 26.8168
_cell_angle_alpha 90.00
_cell_angle_beta 90.00
_cell_angle_gamma 120.00
loop_
_atom_site_label
_atom_site_type_symbol
_atom_site_fract_x
_atom_site_fract_y
_atom_site_fract_z
K1 K 0.0000 0.0000 0.0000
Na1 Na 0.0000 0.0000 0.1391
Tl1 Tl 0.0000 0.0000 0.4377
Hg1 Hg 0.0000 0.0000 0.2571
```

=====

No. 8
Compound: La2Ga3Si
Source: Alexandria via LeMat-Bulk
Functional: PBE
Structure: optimized geometry

The value obtained for the formation energy from raw total energies is -0.7298 eV/atom. The calculation puts the density of states at the Fermi level at 0.2911 states/eV per atom.

```
data_La2Ga3Si
_chemical_formula_sum 'La2 Ga3 Si1'
_symmetry_space_group_name_H-M 'P m m 2'
_symmetry_Int_Tables_number 25
_cell_length_a 4.260
_cell_length_b 4.435
_cell_length_c 7.376
_cell_angle_alpha 90.00
_cell_angle_beta 90.00
_cell_angle_gamma 90.00
loop_
_symmetry_equiv_pos_as_xyz
'x,y,z'
'-x,-y,z'
'-x,y,z'
'x,-y,z'
loop_
_atom_site_label
_atom_site_type_symbol
_atom_site_fract_x
_atom_site_fract_y
_atom_site_fract_z
La1 La 0.000 0.000 0.000
La2 La 0.500 0.000 0.488
Ga1 Ga 0.000 0.500 0.328
Ga2 Ga 0.000 0.500 0.663
Ga3 Ga 0.500 0.500 0.828
Si1 Si 0.500 0.500 0.159
```

=====

No. 9
Compound: TcPRh2
Source: Alexandria via LeMat-Bulk
Functional: PBE
Structure: optimized geometry

The calculation puts the density of states at the Fermi level at 0.7967 states/eV per atom. Its formation energy is -254 meV/atom.

```
data_TcPRh2
_chemical_formula_sum 'Tc2 P2 Rh4'
_symmetry_space_group_name_H-M 'I m m m'
_symmetry_Int_Tables_number 71
_symmetry_space_group_name_Hall '-I 2 2'
_cell_length_a 3.036
_cell_length_b 4.204
_cell_length_c 8.521
_cell_angle_alpha 90.00
_cell_angle_beta 90.00
_cell_angle_gamma 90.00
loop_
_atom_site_label
_atom_site_type_symbol
_atom_site_fract_x
_atom_site_fract_y
_atom_site_fract_z
Tc1 Tc 0.000 0.000 0.000
P1 P 0.000 0.000 0.500
Rh1 Rh 0.000 0.500 0.215
```

=====

No. 10
Compound: RbHfV3
Source: Alexandria via LeMat-Bulk
Functional: PBE
Structure: optimized geometry

The calculation puts the density of states at the Fermi level at 2.0813 states/eV per atom. The excess energy over the best structure of this formula in the dataset is 0 meV per atom. Its formation energy is 1763 meV/atom.

```
data_RbHfV3
_chemical_formula_sum 'Rb1 Hf1 V3'
_symmetry_space_group_name_H-M 'P m -3 m'
_symmetry_Int_Tables_number 221
_symmetry_space_group_name_Hall '-P 4 2 3'
_cell_length_a 5.143
_cell_length_b 5.143
_cell_length_c 5.143
_cell_angle_alpha 90.00
_cell_angle_beta 90.00
_cell_angle_gamma 90.00
loop_
_atom_site_label
_atom_site_type_symbol
_atom_site_fract_x
_atom_site_fract_y
_atom_site_fract_z
Rb1 Rb 0.000 0.000 0.000
Hf1 Hf 0.500 0.500 0.500
V1 V 0.000 0.500 0.500
```

=====

No. 11
Compound: RbAsCl2
Source: Alexandria via LeMat-Bulk
Functional: PBE
Structure: optimized geometry

The value obtained for the formation energy from raw total energies is -0.5791 eV/atom. The calculation puts the density of states at the Fermi level at 0.0006 states/eV per atom. The excess energy over the best structure of this formula in the dataset is 139 meV per atom.

```
data_RbAsCl2
_chemical_formula_sum 'Rb3 As3 Cl6'
_symmetry_space_group_name_H-M 'R -3 m'
_symmetry_Int_Tables_number 166
_symmetry_space_group_name_Hall '-R 3 2"'
_cell_length_a 4.8078
_cell_length_b 4.8078
_cell_length_c 17.0354
_cell_angle_alpha 90.00
_cell_angle_beta 90.00
_cell_angle_gamma 120.00
loop_
_atom_site_label
_atom_site_type_symbol
_atom_site_fract_x
_atom_site_fract_y
_atom_site_fract_z
Rb1 Rb 0.0000 0.0000 0.0000
As1 As 0.0000 0.0000 0.5000
Cl1 Cl 0.0000 0.0000 0.2165
```

=====

No. 12
Compound: Ac2BePt
Source: Alexandria via LeMat-Bulk
Functional: PBE
Structure: optimized geometry

The calculation puts the density of states at the Fermi level at 0.7122 states/eV per atom. The excess energy over the best structure of this formula in the dataset is 13 meV per atom. Its formation energy is -315 meV/atom.

```
data_Ac2BePt
_chemical_formula_sum 'Ac8 Be4 Pt4'
_symmetry_space_group_name_H-M 'F m -3 m'
_symmetry_Int_Tables_number 225
_symmetry_space_group_name_Hall '-F 4 2 3'
_cell_length_a 7.566
_cell_length_b 7.566
_cell_length_c 7.566
_cell_angle_alpha 90.00
_cell_angle_beta 90.00
_cell_angle_gamma 90.00
loop_
_atom_site_label
_atom_site_type_symbol
_atom_site_fract_x
_atom_site_fract_y
_atom_site_fract_z
Ac1 Ac 0.250 0.250 0.250
Be1 Be 0.000 0.000 0.000
Pt1 Pt 0.000 0.000 0.500
```

=====

Number 9 is which compound?
TcPRh2

=====

Which of these has the highest density of states at the Fermi level?
RbHfV3